(1)
# Rb3MgTl4 | the Alexandria database | PBE | optimized geometry
data_Rb3MgTl4
_cell_length_a 12.5410
_cell_length_b 7.3698
_cell_length_c 8.1257
_cell_angle_alpha 90.00
_cell_angle_beta 118.83
_cell_angle_gamma 90.00
_symmetry_space_group_name_H-M 'C 1 2 1'
_symmetry_Int_Tables_number 5
_symmetry_space_group_name_Hall 'C 2y'
loop_
_atom_site_label
_atom_site_fract_x
_atom_site_fract_y
_atom_site_fract_z
Rb1 0.0000 0.0000 0.0000
Rb2 0.1967 0.2258 0.5986
Mg1 0.0000 0.7213 0.5000
Tl1 0.0296 0.4953 0.8327
Tl2 0.2323 0.7968 0.8682
# crystal system: monoclinic

(2)
# KLiAl | the Alexandria database | PBE | optimized geometry
data_KLiAl
_cell_length_a 3.5666
_cell_length_b 4.3482
_cell_length_c 12.3870
_cell_angle_alpha 90.00
_cell_angle_beta 98.40
_cell_angle_gamma 90.00
_symmetry_space_group_name_H-M 'P 1 21/m 1'
_symmetry_Int_Tables_number 11
_symmetry_space_group_name_Hall '-P 2yb'
loop_
_atom_site_label
_atom_site_fract_x
_atom_site_fract_y
_atom_site_fract_z
K1 0.1661 0.2500 0.3406
Li1 0.0531 0.7500 0.1043
Al1 0.4657 0.7500 0.9317
# crystal system: monoclinic
# ΔE to the lowest computed polymorph: 65 meV/atom

Number 1: size of the total moment 0.00 μB/f.u., DFT formation energy -0.022 eV per atom, density 5.5 g cm⁻³. Number 2: size of the total moment 0.00 μB/f.u., DFT formation energy 0.062 eV per atom, density 1.3 g cm⁻³.